(1)
# HoTm2In3CuPd2

A relaxed structure of HoTm2In3CuPd2 (PBE, OQMD).

```
data_HoTm2In3CuPd2
_chemical_formula_sum 'Ho2 Tm4 In6 Cu2 Pd4'
_cell_length_a 3.813
_cell_length_b 13.206
_cell_length_c 7.612
_cell_angle_alpha 90.00
_cell_angle_beta 90.00
_cell_angle_gamma 90.00
_space_group_name_H-M_alt 'A m m 2'
_space_group_IT_number 38
_space_group_name_Hall 'A 2 -2'
loop_
_atom_site_label
_atom_site_type_symbol
_atom_site_fract_x
_atom_site_fract_y
_atom_site_fract_z
_atom_site_occupancy
Ho1 Ho 0.000 0.000 0.000 1
Tm1 Tm 0.000 0.205 0.614 1
In1 In 0.500 0.000 0.662 1
In2 In 0.500 0.127 0.284 1
Cu1 Cu 0.000 0.000 0.410 1
Pd1 Pd 0.500 0.167 0.909 1
```

Summary:
Energy: -42.10 eV/f.u.



(2)
# Ho2TmIn3CuPd2

A relaxed structure of Ho2TmIn3CuPd2 (PBE, OQMD).

```
data_Ho2TmIn3CuPd2
_chemical_formula_sum 'Ho4 Tm2 In6 Cu2 Pd4'
_cell_length_a 3.825
_cell_length_b 13.199
_cell_length_c 7.633
_cell_angle_alpha 90.00
_cell_angle_beta 90.00
_cell_angle_gamma 90.00
_space_group_name_H-M_alt 'A m m 2'
_space_group_IT_number 38
_space_group_name_Hall 'A 2 -2'
loop_
_atom_site_label
_atom_site_type_symbol
_atom_site_fract_x
_atom_site_fract_y
_atom_site_fract_z
_atom_site_occupancy
Ho1 Ho 0.000 0.205 0.000 1
Tm1 Tm 0.000 0.000 0.386 1
In1 In 0.500 0.000 0.048 1
In2 In 0.500 0.126 0.669 1
Cu1 Cu 0.000 0.000 0.795 1
Pd1 Pd 0.500 0.166 0.295 1
```

Summary:
Energy: -42.22 eV/f.u.



(3)
# Y2HoIn3CuPd2

A relaxed structure of Y2HoIn3CuPd2 (PBE, OQMD).

```
data_Y2HoIn3CuPd2
_chemical_formula_sum 'Y4 Ho2 In6 Cu2 Pd4'
_cell_length_a 3.800
_cell_length_b 13.349
_cell_length_c 7.740
_cell_angle_alpha 90.00
_cell_angle_beta 90.00
_cell_angle_gamma 90.00
_space_group_name_H-M_alt 'A m m 2'
_space_group_IT_number 38
_space_group_name_Hall 'A 2 -2'
loop_
_atom_site_label
_atom_site_type_symbol
_atom_site_fract_x
_atom_site_fract_y
_atom_site_fract_z
_atom_site_occupancy
Y1 Y 0.000 0.204 0.000 1
Ho1 Ho 0.000 0.000 0.614 1
In1 In 0.500 0.000 0.951 1
In2 In 0.500 0.127 0.332 1
Cu1 Cu 0.000 0.000 0.206 1
Pd1 Pd 0.500 0.165 0.704 1
```

Summary:
Energy: -46.16 eV/f.u.



(4)
# YHo2In3CuPt2

A relaxed structure of YHo2In3CuPt2 (PBE, OQMD).

```
data_YHo2In3CuPt2
_chemical_formula_sum 'Y2 Ho4 In6 Cu2 Pt4'
_cell_length_a 3.728
_cell_length_b 13.423
_cell_length_c 7.729
_cell_angle_alpha 90.00
_cell_angle_beta 90.00
_cell_angle_gamma 90.00
_space_group_name_H-M_alt 'A m m 2'
_space_group_IT_number 38
_space_group_name_Hall 'A 2 -2'
loop_
_atom_site_label
_atom_site_type_symbol
_atom_site_fract_x
_atom_site_fract_y
_atom_site_fract_z
_atom_site_occupancy
Y1 Y 0.000 0.000 0.000 1
Ho1 Ho 0.000 0.205 0.385 1
In1 In 0.500 0.000 0.335 1
In2 In 0.500 0.127 0.717 1
Cu1 Cu 0.000 0.000 0.589 1
Pt1 Pt 0.500 0.168 0.091 1
```

Summary:
Energy: -47.24 eV/f.u.